1.
This record from Alexandria via LeMat-Bulk describes a PBEsol-optimized structure of AgTeC3. The functional is SCAN.

a b c (Å): 4.172 4.172 4.172
angles (deg): 90.00 90.00 90.00
Space group Pm-3m (No. 221)
One atom of each set of equivalent atoms:
Ag: 0.000 0.000 0.000 (multiplicity 1)
Te: 0.500 0.500 0.500 (multiplicity 1)
C: 0.000 0.500 0.500 (multiplicity 3)

Results
magnetic moment = 0.0 μB/f.u.
E above lowest polymorph = 0.000 eV per atom
uncorrected formation energy = 3.109 eV per atom
volume = 14.5 Å³ per atom
calculated total energy = -83.4 eV per cell

=====

2.
This record from Alexandria via LeMat-Bulk describes a PBEsol-optimized structure of AgTeC3. The functional is SCAN.

a b c (Å): 4.142 4.142 4.142
angles (deg): 90.00 90.00 90.00
Space group Pm-3m (No. 221)
One atom of each set of equivalent atoms:
Ag: 0.000 0.000 0.000 (multiplicity 1)
Te: 0.500 0.500 0.500 (multiplicity 1)
C: 0.000 0.000 0.500 (multiplicity 3)

Results
magnetic moment = 2.3 μB/f.u.
E above lowest polymorph = 0.021 eV per atom
uncorrected formation energy = 3.130 eV per atom
volume = 14.2 Å³ per atom
calculated total energy = -83.3 eV per cell

=====

3.
This record from Alexandria via LeMat-Bulk describes a PBEsol-optimized structure of Ag3WC. The functional is SCAN.

a b c (Å): 4.987 4.987 4.987
angles (deg): 90.00 90.00 90.00
Space group Pm-3m (No. 221)
One atom of each set of equivalent atoms:
Ag: 0.000 0.000 0.500 (multiplicity 3)
W: 0.000 0.000 0.000 (multiplicity 1)
C: 0.500 0.500 0.500 (multiplicity 1)

Results
ΔH_f (0 K) = 3148 meV/atom
magnetic moment = 1.7 μB/f.u.
volume = 24.8 Å³ per atom
calculated total energy = -158.1 eV per cell

=====

4.
This record from Alexandria via LeMat-Bulk describes a PBEsol-optimized structure of Y3AgC. The functional is SCAN.

a b c (Å): 4.833 4.833 4.833
angles (deg): 90.00 90.00 90.00
Space group Pm-3m (No. 221)
One atom of each set of equivalent atoms:
Y: 0.000 0.000 0.500 (multiplicity 3)
Ag: 0.500 0.500 0.500 (multiplicity 1)
C: 0.000 0.000 0.000 (multiplicity 1)

Results
ΔH_f (0 K) = -341 meV/atom
magnetic moment = 1.1 μB/f.u.
volume = 22.6 Å³ per atom
calculated total energy = -126.7 eV per cell

=====

5.
This record from Alexandria via LeMat-Bulk describes a PBEsol-optimized structure of ZnAgC3. The functional is SCAN.

a b c (Å): 3.928 3.928 3.928
angles (deg): 90.00 90.00 90.00
Space group Pm-3m (No. 221)
One atom of each set of equivalent atoms:
Zn: 0.000 0.000 0.000 (multiplicity 1)
Ag: 0.500 0.500 0.500 (multiplicity 1)
C: 0.000 0.000 0.500 (multiplicity 3)

Results
ΔH_f (0 K) = 2939 meV/atom
magnetic moment = 0.0 μB/f.u.
volume = 12.1 Å³ per atom
calculated total energy = -60.5 eV per cell

=====

6.
This record from Alexandria via LeMat-Bulk describes a PBEsol-optimized structure of Ca2Ag. The functional is SCAN.

a b c (Å): 7.250 7.250 7.250
angles (deg): 90.00 90.00 90.00
Space group Fm-3m (No. 225)
One atom of each set of equivalent atoms:
Ca: 0.250 0.250 0.250 (multiplicity 8)
Ag: 0.000 0.000 0.000 (multiplicity 4)

Results
ΔH_f (0 K) = -180 meV/atom
magnetic moment = 0.0 μB/f.u.
volume = 31.8 Å³ per atom
calculated total energy = -204.9 eV per cell

=====

7.
This record from Alexandria via LeMat-Bulk describes a PBEsol-optimized structure of Ca5Ag3. The functional is SCAN.

a b c (Å): 8.9569 8.9569 6.4788
angles (deg): 90.00 90.00 120.00
Space group P6_3/mcm (No. 193)
One atom of each set of equivalent atoms:
Ca: 0.0000 0.2552 0.2500 (multiplicity 6)
Ca: 0.3333 0.6667 0.0000 (multiplicity 4)
Ag: 0.0000 0.3946 0.7500 (multiplicity 6)

Results
ΔH_f (0 K) = -268 meV/atom
magnetic moment = 0.0 μB/f.u.
E above lowest polymorph = 0.000 eV per atom
volume = 28.1 Å³ per atom
calculated total energy = -289.1 eV per cell

=====

8.
This record from Alexandria via LeMat-Bulk describes a PBEsol-optimized structure of Ca3Ag. The functional is SCAN.

a b c (Å): 3.777 5.724 11.890
angles (deg): 90.00 90.00 90.00
Space group Immm (No. 71)
One atom of each set of equivalent atoms:
Ca: 0.000 0.000 0.000 (multiplicity 2)
Ca: 0.000 0.500 0.198 (multiplicity 4)
Ag: 0.000 0.000 0.500 (multiplicity 2)

Results
ΔH_f (0 K) = -116 meV/atom
magnetic moment = 0.1 μB/f.u.
E above lowest polymorph = 0.100 eV per atom
volume = 32.1 Å³ per atom
calculated total energy = -121.6 eV per cell

=====

Question: What is the magnetic moment in the sixth record?
Answer: 0.0 μB/f.u.